Crystalline As2Ir at its relaxed geometry, computed with GGA-PBE.

Cell: 4.739 4.739 4.739 Å, 142.97 127.42 66.04°
Fractional positions:
As (0.164, 0.164, 0.000)
As (0.836, 0.836, 0.000)
Ir (0.500, 0.500, 0.000)

Properties
energy = -5.695 eV/atom
magnetization = 0.00 μB/f.u.
energy of formation from the pure elements = 0.36 eV/atom

=====

Crystalline Tl3Hg3As at its relaxed geometry, computed with GGA-PBE.

Cell: 8.314 8.314 6.356 Å, 101.95 101.95 81.67°
Fractional positions:
Tl (0.040, 0.426, 0.743)
Tl (0.185, 0.185, 0.282)
Tl (0.426, 0.040, 0.743)
Tl (0.574, 0.960, 0.257)
Tl (0.815, 0.815, 0.718)
Tl (0.960, 0.574, 0.257)
Hg (0.218, 0.782, 0.000)
Hg (0.341, 0.659, 0.500)
Hg (0.392, 0.392, 0.065)
Hg (0.608, 0.608, 0.935)
Hg (0.659, 0.341, 0.500)
Hg (0.782, 0.218, 0.000)
As (0.055, 0.055, 0.691)
As (0.945, 0.945, 0.309)

Properties
energy = -1.768 eV/atom
magnetization = 0.00 μB/f.u.
energy of formation from the pure elements = 0.04 eV/atom

=====

Crystalline ThZnHgPd at its relaxed geometry, computed with GGA-PBE.

Cell: 4.930 4.930 4.930 Å, 60.00 60.00 60.00°
Fractional positions:
Th (0.000, 0.000, 0.000)
Zn (0.250, 0.250, 0.250)
Hg (0.500, 0.500, 0.500)
Pd (0.750, 0.750, 0.750)

Properties
energy = -3.949 eV/atom
magnetization = 0.00 μB/f.u.
energy of formation from the pure elements = -0.40 eV/atom

=====

Crystalline SrTa3 at its relaxed geometry, computed with GGA-PBE.

Cell: 2.965 2.965 10.411 Å, 90.00 90.00 108.36°
Fractional positions:
Sr (0.000, 0.000, 0.000)
Ta (0.000, 0.000, 0.500)
Ta (0.500, 0.500, 0.287)
Ta (0.500, 0.500, 0.713)

Properties
energy = -8.721 eV/atom
magnetization = 0.00 μB/f.u.
energy of formation from the pure elements = 0.59 eV/atom

=====

Crystalline PaVSnOs at its relaxed geometry, computed with GGA-PBE.

Cell: 4.757 4.757 4.757 Å, 60.00 60.00 60.00°
Fractional positions:
Pa (0.000, 0.000, 0.000)
V (0.250, 0.250, 0.250)
Sn (0.500, 0.500, 0.500)
Os (0.750, 0.750, 0.750)

Properties
energy = -8.498 eV/atom
magnetization = 1.95 μB/f.u.
energy of formation from the pure elements = -0.04 eV/atom

=====

Crystalline KInAu2 at its relaxed geometry, computed with GGA-PBE.

Cell: 10.147 10.147 10.147 Å, 148.72 148.72 44.82°
Fractional positions:
K (0.375, 0.625, 0.750)
K (0.625, 0.375, 0.250)
In (0.125, 0.875, 0.250)
In (0.875, 0.125, 0.750)
Au (0.000, 0.000, 0.000)
Au (0.000, 0.000, 0.500)
Au (0.000, 0.500, 0.000)
Au (0.500, 0.000, 0.500)

Properties
energy = -2.776 eV/atom
magnetization = 0.00 μB/f.u.
energy of formation from the pure elements = -0.18 eV/atom

=====

Crystalline CsAsP3 at its relaxed geometry, computed with GGA-PBE.

Cell: 5.397 5.397 5.397 Å, 90.00 90.00 90.00°
Fractional positions:
Cs (0.000, 0.000, 0.000)
As (0.500, 0.500, 0.500)
P (0.000, 0.000, 0.500)
P (0.000, 0.500, 0.000)
P (0.500, 0.000, 0.000)

Properties
energy = -1.996 eV/atom
magnetization = 0.00 μB/f.u.
energy of formation from the pure elements = 2.35 eV/atom

=====

Crystalline CdP2Pb at its relaxed geometry, computed with GGA-PBE.

Cell: 4.878 3.960 5.280 Å, 90.00 102.77 90.00°
Fractional positions:
Cd (0.000, 0.000, 0.000)
P (0.131, 0.500, 0.693)
P (0.869, 0.500, 0.307)
Pb (0.500, 0.000, 0.500)

Properties
energy = -3.720 eV/atom
magnetization = 0.00 μB/f.u.
energy of formation from the pure elements = 0.14 eV/atom

=====

Number 1: calculated volume 16.73 Å³/atom. Number 2: calculated volume 29.86 Å³/atom. Number 3: calculated volume 21.19 Å³/atom. Number 4: calculated volume 21.72 Å³/atom. Number 5: calculated volume 19.03 Å³/atom. Number 6: calculated volume 35.09 Å³/atom. Number 7: calculated volume 31.43 Å³/atom. Number 8: calculated volume 24.87 Å³/atom.